Model A:
! PaTiRh | Alexandria | PBE | relaxed; values from VASP
! - spin magnetization (μB per cell) = 0.00
&SYSTEM
  ibrav = 0, nat = 3, ntyp = 3
/
ATOMIC_SPECIES
Pa 231.04 Pa.upf
Ti 47.87 Ti.upf
Rh 102.91 Rh.upf
CELL_PARAMETERS angstrom
4.394 0.000 0.000
-2.197 3.806 0.000
0.000 0.000 3.584
ATOMIC_POSITIONS angstrom
Pa 0.000 0.000 0.000
Ti 2.197 1.269 1.899
Rh 0.000 2.537 1.496

***

Model B:
! PaTiRh | Alexandria | PBE | relaxed; values from VASP
! - spin magnetization (μB per cell) = 0.00
&SYSTEM
  ibrav = 0, nat = 12, ntyp = 3
/
ATOMIC_SPECIES
Pa 231.04 Pa.upf
Ti 47.87 Ti.upf
Rh 102.91 Rh.upf
CELL_PARAMETERS angstrom
5.593 0.000 0.000
0.000 5.641 0.000
0.000 0.000 7.119
ATOMIC_POSITIONS angstrom
Pa 0.000 1.410 0.809
Pa 0.000 4.230 6.310
Pa 2.796 1.410 2.751
Pa 2.796 4.230 4.368
Ti 0.000 0.000 3.559
Ti 0.000 2.820 3.559
Ti 2.796 0.000 0.000
Ti 2.796 2.820 0.000
Rh 1.398 1.410 5.339
Rh 1.398 4.230 1.780
Rh 4.195 1.410 5.339
Rh 4.195 4.230 1.780

***

Model C:
! PaTiRh | Alexandria | PBE | relaxed; values from VASP
! - spin magnetization (μB per cell) = 0.00
&SYSTEM
  ibrav = 0, nat = 6, ntyp = 3
/
ATOMIC_SPECIES
Pa 231.04 Pa.upf
Ti 47.87 Ti.upf
Rh 102.91 Rh.upf
CELL_PARAMETERS angstrom
3.502 0.000 0.000
-1.751 3.032 0.000
0.000 0.000 11.659
ATOMIC_POSITIONS angstrom
Pa 0.000 0.000 1.418
Pa 0.000 0.000 10.240
Ti 0.000 2.022 6.834
Ti 1.751 1.011 4.825
Rh 0.000 2.022 3.254
Rh 1.751 1.011 8.404

***

Most stable: model B

***

Model A:
! PaTlRh2 | Alexandria | PBE | relaxed; values from VASP
! - spin magnetization (μB per cell) = 0.00
&SYSTEM
  ibrav = 0, nat = 12, ntyp = 3
/
ATOMIC_SPECIES
Pa 231.04 Pa.upf
Tl 204.38 Tl.upf
Rh 102.91 Rh.upf
CELL_PARAMETERS angstrom
4.864 0.000 0.000
-2.432 4.212 0.000
0.000 0.000 11.711
ATOMIC_POSITIONS angstrom
Pa 0.000 0.000 0.000
Pa 0.000 2.808 7.807
Pa 2.432 1.404 3.904
Tl 0.000 0.000 5.855
Tl 0.000 2.808 1.952
Tl 2.432 1.404 9.759
Rh 0.000 0.000 2.602
Rh 0.000 0.000 9.108
Rh 0.000 2.808 5.205
Rh 0.000 2.808 10.410
Rh 2.432 1.404 1.301
Rh 2.432 1.404 6.506

***

Model B:
! PaTlRh2 | Alexandria | PBE | relaxed; values from VASP
! - spin magnetization (μB per cell) = 0.00
&SYSTEM
  ibrav = 0, nat = 4, ntyp = 3
/
ATOMIC_SPECIES
Pa 231.04 Pa.upf
Tl 204.38 Tl.upf
Rh 102.91 Rh.upf
CELL_PARAMETERS angstrom
3.528 0.000 0.000
0.000 3.528 0.000
0.000 0.000 6.544
ATOMIC_POSITIONS angstrom
Pa 0.000 0.000 0.000
Tl 0.000 0.000 3.272
Rh 1.764 1.764 1.443
Rh 1.764 1.764 5.101

***

Most stable: model A

***

Model A:
! Pa2TlRh | Alexandria | PBE | relaxed; values from VASP
! - spin magnetization (μB per cell) = 0.00
&SYSTEM
  ibrav = 0, nat = 12, ntyp = 3
/
ATOMIC_SPECIES
Pa 231.04 Pa.upf
Tl 204.38 Tl.upf
Rh 102.91 Rh.upf
CELL_PARAMETERS angstrom
3.563 0.000 0.000
-1.782 3.086 0.000
0.000 0.000 27.409
ATOMIC_POSITIONS angstrom
Pa 0.000 0.000 6.450
Pa 0.000 0.000 20.959
Pa 0.000 2.057 11.823
Pa 0.000 2.057 24.723
Pa 1.782 1.029 2.686
Pa 1.782 1.029 15.586
Tl 0.000 0.000 0.000
Tl 0.000 2.057 18.273
Tl 1.782 1.029 9.136
Rh 0.000 0.000 13.705
Rh 0.000 2.057 4.568
Rh 1.782 1.029 22.841

***

Model B:
! Pa2TlRh | Alexandria | PBE | relaxed; values from VASP
! - spin magnetization (μB per cell) = 0.47
&SYSTEM
  ibrav = 0, nat = 4, ntyp = 3
/
ATOMIC_SPECIES
Pa 231.04 Pa.upf
Tl 204.38 Tl.upf
Rh 102.91 Rh.upf
CELL_PARAMETERS angstrom
3.242 0.000 0.000
0.000 3.242 0.000
0.000 0.000 8.755
ATOMIC_POSITIONS angstrom
Pa 0.000 0.000 1.868
Pa 0.000 0.000 6.887
Tl 1.621 1.621 4.377
Rh 1.621 1.621 0.000

***

Most stable: model B

***

Model A:
! TmPaRh2 | Alexandria | PBE | relaxed; values from VASP
! - spin magnetization (μB per cell) = 0.00
&SYSTEM
  ibrav = 0, nat = 12, ntyp = 3
/
ATOMIC_SPECIES
Tm 168.93 Tm.upf
Pa 231.04 Pa.upf
Rh 102.91 Rh.upf
CELL_PARAMETERS angstrom
3.887 0.000 0.000
-1.943 3.366 0.000
0.000 0.000 20.158
ATOMIC_POSITIONS angstrom
Tm 0.000 0.000 0.000
Tm 0.000 2.244 13.439
Tm 1.943 1.122 6.719
Pa 0.000 0.000 10.079
Pa 0.000 2.244 3.360
Pa 1.943 1.122 16.799
Rh 0.000 0.000 4.934
Rh 0.000 0.000 15.224
Rh 0.000 2.244 8.505
Rh 0.000 2.244 18.373
Rh 1.943 1.122 1.785
Rh 1.943 1.122 11.653

***

Model B:
! TmPaRh2 | Alexandria | PBE | relaxed; values from VASP
! - spin magnetization (μB per cell) = 0.00
&SYSTEM
  ibrav = 0, nat = 8, ntyp = 3
/
ATOMIC_SPECIES
Tm 168.93 Tm.upf
Pa 231.04 Pa.upf
Rh 102.91 Rh.upf
CELL_PARAMETERS angstrom
5.905 0.000 0.000
0.000 4.008 0.000
-2.549 0.000 7.136
ATOMIC_POSITIONS angstrom
Tm 0.202 1.002 3.117
Tm 3.154 3.006 4.019
Pa -1.078 1.002 6.618
Pa 4.434 3.006 0.518
Rh 1.253 3.006 1.321
Rh 0.039 3.006 5.191
Rh 3.317 1.002 1.944
Rh 2.103 1.002 5.815

***

Model C:
! TmPaRh2 | Alexandria | PBE | relaxed; values from VASP
! - spin magnetization (μB per cell) = 0.00
&SYSTEM
  ibrav = 0, nat = 4, ntyp = 3
/
ATOMIC_SPECIES
Tm 168.93 Tm.upf
Pa 231.04 Pa.upf
Rh 102.91 Rh.upf
CELL_PARAMETERS angstrom
3.437 0.000 0.000
0.000 3.437 0.000
0.000 0.000 6.887
ATOMIC_POSITIONS angstrom
Tm 0.000 0.000 0.000
Pa 0.000 0.000 3.443
Rh 1.718 1.718 1.847
Rh 1.718 1.718 5.040

***

Most stable: model B

***

Model A:
! TmPaRh | Alexandria | PBE | relaxed; values from VASP
! - spin magnetization (μB per cell) = 0.00
&SYSTEM
  ibrav = 0, nat = 6, ntyp = 3
/
ATOMIC_SPECIES
Tm 168.93 Tm.upf
Pa 231.04 Pa.upf
Rh 102.91 Rh.upf
CELL_PARAMETERS angstrom
3.538 0.000 0.000
0.000 3.538 0.000
0.000 0.000 10.913
ATOMIC_POSITIONS angstrom
Tm 0.000 0.000 0.000
Tm 1.769 1.769 5.456
Pa 0.000 0.000 3.249
Pa 1.769 1.769 8.705
Rh 0.000 0.000 7.419
Rh 1.769 1.769 1.962

***

Model B:
! TmPaRh | Alexandria | PBE | relaxed; values from VASP
! - spin magnetization (μB per cell) = 2.25
&SYSTEM
  ibrav = 0, nat = 12, ntyp = 3
/
ATOMIC_SPECIES
Tm 168.93 Tm.upf
Pa 231.04 Pa.upf
Rh 102.91 Rh.upf
CELL_PARAMETERS angstrom
6.734 0.000 0.000
0.000 6.734 0.000
0.000 0.000 6.734
ATOMIC_POSITIONS angstrom
Tm 0.000 0.000 0.000
Tm 0.000 3.367 3.367
Tm 3.367 0.000 3.367
Tm 3.367 3.367 0.000
Pa 0.000 0.000 3.367
Pa 0.000 3.367 0.000
Pa 3.367 0.000 0.000
Pa 3.367 3.367 3.367
Rh 1.683 1.683 5.050
Rh 1.683 5.050 1.683
Rh 5.050 1.683 1.683
Rh 5.050 5.050 5.050

***

Model C:
! TmPaRh | Alexandria | PBE | relaxed; values from VASP
! - spin magnetization (μB per cell) = 0.00
&SYSTEM
  ibrav = 0, nat = 6, ntyp = 3
/
ATOMIC_SPECIES
Tm 168.93 Tm.upf
Pa 231.04 Pa.upf
Rh 102.91 Rh.upf
CELL_PARAMETERS angstrom
3.634 0.000 0.000
-1.814 5.788 0.000
-1.812 -1.525 6.743
ATOMIC_POSITIONS angstrom
Tm -0.907 0.773 2.921
Tm 0.916 3.490 3.822
Pa -0.905 4.393 0.969
Pa 0.913 -0.130 5.774
Rh 0.908 1.775 0.949
Rh -0.900 2.487 5.794

***

Most stable: model A

***

Model A:
! UPaRh | Alexandria | PBE | relaxed; values from VASP
! - spin magnetization (μB per cell) = 5.12
&SYSTEM
  ibrav = 0, nat = 6, ntyp = 3
/
ATOMIC_SPECIES
U 238.03 U.upf
Pa 231.04 Pa.upf
Rh 102.91 Rh.upf
CELL_PARAMETERS angstrom
3.601 0.000 0.000
0.000 3.601 0.000
0.000 0.000 9.437
ATOMIC_POSITIONS angstrom
U 0.000 0.000 0.000
U 1.800 1.800 4.719
Pa 0.000 0.000 3.102
Pa 1.800 1.800 7.820
Rh 0.000 0.000 6.279
Rh 1.800 1.800 1.560

***

Model B:
! UPaRh | Alexandria | PBE | relaxed; values from VASP
! - spin magnetization (μB per cell) = 0.00
&SYSTEM
  ibrav = 0, nat = 12, ntyp = 3
/
ATOMIC_SPECIES
U 238.03 U.upf
Pa 231.04 Pa.upf
Rh 102.91 Rh.upf
CELL_PARAMETERS angstrom
5.002 0.000 0.000
0.000 5.630 0.000
0.000 0.000 8.099
ATOMIC_POSITIONS angstrom
U 0.000 0.000 1.242
U 0.000 0.000 6.856
U 2.501 2.815 2.807
U 2.501 2.815 5.292
Pa 0.000 2.815 1.443
Pa 0.000 2.815 6.656
Pa 2.501 0.000 2.606
Pa 2.501 0.000 5.492
Rh 0.000 1.386 4.049
Rh 0.000 4.244 4.049
Rh 2.501 1.429 0.000
Rh 2.501 4.201 0.000

***

Model C:
! UPaRh | Alexandria | PBE | relaxed; values from VASP
! - spin magnetization (μB per cell) = 0.17
&SYSTEM
  ibrav = 0, nat = 3, ntyp = 3
/
ATOMIC_SPECIES
U 238.03 U.upf
Pa 231.04 Pa.upf
Rh 102.91 Rh.upf
CELL_PARAMETERS angstrom
4.823 0.000 0.000
-2.411 4.177 0.000
0.000 0.000 2.802
ATOMIC_POSITIONS angstrom
U 0.000 0.000 0.000
Pa 0.000 2.784 0.000
Rh 2.411 1.392 1.401

***

Most stable: model A

***

Model A:
! PaVRh | Alexandria | PBE | relaxed; values from VASP
! - spin magnetization (μB per cell) = 0.00
&SYSTEM
  ibrav = 0, nat = 3, ntyp = 3
/
ATOMIC_SPECIES
Pa 231.04 Pa.upf
V 50.94 V.upf
Rh 102.91 Rh.upf
CELL_PARAMETERS angstrom
4.054 0.000 0.000
-2.027 3.511 0.000
0.000 0.000 4.128
ATOMIC_POSITIONS angstrom
Pa 0.000 0.000 0.000
V 0.000 2.340 1.801
Rh 2.027 1.170 2.383

***

Model B:
! PaVRh | Alexandria | PBE | relaxed; values from VASP
! - spin magnetization (μB per cell) = 0.00
&SYSTEM
  ibrav = 0, nat = 6, ntyp = 3
/
ATOMIC_SPECIES
Pa 231.04 Pa.upf
V 50.94 V.upf
Rh 102.91 Rh.upf
CELL_PARAMETERS angstrom
3.624 0.000 0.000
0.000 3.624 0.000
0.000 0.000 8.175
ATOMIC_POSITIONS angstrom
Pa 0.000 0.000 0.000
Pa 1.812 1.812 4.088
V 0.000 0.000 2.439
V 1.812 1.812 6.527
Rh 0.000 0.000 5.452
Rh 1.812 1.812 1.365

***

Most stable: model B

***

Model A:
! YPaRh3 | Alexandria | PBE | relaxed; values from VASP
! - spin magnetization (μB per cell) = 0.00
&SYSTEM
  ibrav = 0, nat = 10, ntyp = 3
/
ATOMIC_SPECIES
Y 88.91 Y.upf
Pa 231.04 Pa.upf
Rh 102.91 Rh.upf
CELL_PARAMETERS angstrom
5.001 -2.888 0.000
5.001 2.888 0.000
-3.345 0.000 7.913
ATOMIC_POSITIONS angstrom
Y 0.000 0.000 0.000
Y -0.011 0.000 5.816
Pa 3.331 0.000 2.785
Pa 3.323 0.000 6.678
Rh 2.513 1.423 0.704
Rh 2.438 1.536 4.779
Rh 2.513 -1.423 0.704
Rh 4.975 0.000 0.704
Rh 2.438 -1.536 4.779
Rh 5.098 0.000 4.781

***

Model B:
! YPaRh3 | Alexandria | PBE | relaxed; values from VASP
! - spin magnetization (μB per cell) = 0.00
&SYSTEM
  ibrav = 0, nat = 10, ntyp = 3
/
ATOMIC_SPECIES
Y 88.91 Y.upf
Pa 231.04 Pa.upf
Rh 102.91 Rh.upf
CELL_PARAMETERS angstrom
2.889 -6.429 0.000
2.889 6.429 0.000
0.000 0.000 5.318
ATOMIC_POSITIONS angstrom
Y 2.889 5.449 3.988
Y 2.889 -5.449 1.329
Pa 2.889 2.518 1.329
Pa 2.889 -2.518 3.988
Rh 1.449 1.879 3.988
Rh 1.449 -1.879 1.329
Rh 2.889 0.000 0.000
Rh 2.889 0.000 2.659
Rh 4.330 1.879 3.988
Rh 4.330 -1.879 1.329

***

Most stable: model B